DFT (PBE+U) results for an optimized crystal structure of UCoAg2O6.

## Properties
Fermi-level density of states = 4.63 states/eV/f.u.
Total DFT energy (no corrections) = -65.721 eV per formula unit
Space group = No. 12
Crystal system = monoclinic

a b c (Å): 5.082 5.648 6.259
angles (deg): 116.82 114.54 90.00
Each line ends with the local moment (μB).
Atoms (fractional coordinates):
U 0.000 0.500 0.000  0.04
O 0.667 0.326 0.651  -0.01
O 0.794 0.301 0.148  -0.03
O 0.333 0.674 0.349  -0.01
Co 0.500 0.000 0.000  1.90
Ag 0.830 0.769 0.538  -0.04
O 0.206 0.699 0.852  -0.03
O 0.206 0.153 0.852  -0.03
O 0.794 0.847 0.148  -0.03
Ag 0.170 0.231 0.462  -0.04